Tc2Ir: relaxed, PBE.

Cell lengths 4.4770, 4.4770, 2.6657 Å; angles 90.00, 90.00, 90.00 degrees
With the nearest neighbours (Å) after each atom.
Sites, in units of the cell vectors:
Tc  0.0000  0.5000  0.0000  4 Ir 2.61, 2 Tc 2.67
Tc  0.5000  0.0000  0.0000  4 Ir 2.61, 2 Tc 2.67
Ir  0.0000  0.0000  0.5000  8 Tc 2.61, 2 Ir 2.67

Output
**Formation energy**: 0.85 eV per atom
**Space group**: P4/mmm, No. 123
**Offset from the most stable computed form**: 1059 meV/atom